Entry from the Alexandria database: crystalline ZrPa3Se6 at its relaxed geometry (GGA-PBE). Values from VASP.

Energy relative to the elements, uncorrected   -1233 meV per atom
Magnetization   6.51 μB/cell
VASP energy   -7.027 eV/atom

The structure in Quantum ESPRESSO input format:
```
&SYSTEM
  ibrav = 0, nat = 20, ntyp = 3
/
ATOMIC_SPECIES
Pa 231.04 Pa.upf
Se 78.96 Se.upf
Zr 91.22 Zr.upf
CELL_PARAMETERS angstrom
-3.771 -3.237 -4.776
-2.541 -4.853 5.295
-7.064 5.920 2.036
ATOMIC_POSITIONS crystal
Pa 0.446 0.138 0.263
Pa 0.500 0.500 0.000
Se 0.350 0.822 0.433
Zr 0.500 0.500 0.500
Se 0.156 0.335 0.432
Se 0.656 0.165 0.932
Se 0.650 0.178 0.567
Zr 0.000 0.000 0.000
Se 0.798 0.934 0.240
Pa 0.000 0.000 0.500
Pa 0.054 0.638 0.237
Pa 0.554 0.862 0.737
Se 0.344 0.835 0.068
Pa 0.946 0.362 0.763
Se 0.702 0.434 0.260
Se 0.844 0.665 0.568
Se 0.298 0.566 0.740
Se 0.150 0.322 0.067
Se 0.850 0.678 0.933
Se 0.202 0.066 0.760
```